Mg2CoSbPt PBE optimized geometry; Fermi-level density of states = 0.27 states/eV per atom; crystal system = tetragonal; formation energy (no corrections) = 0.88 eV per atom
1.0
5.3315 0.0000 0.0000
0.0000 5.3315 0.0000
0.0000 0.0000 4.9317
Mg Co Sb Pt
2 1 1 1
Cartesian
0.0000 2.6658 0.0000
2.6658 0.0000 0.0000
0.0000 0.0000 2.4659
2.6658 2.6658 0.0000
2.6658 2.6658 2.4659